DFT (SCAN) results for a PBEsol-optimized structure of AgOsF2.

ΔE_f (raw) (meV/atom): 208.4
V (Å³/atom): 13.06
Mass density (g/cm³): 10.7

Cell lengths 4.196, 4.196, 4.196 Å; angles 60.00, 60.00, 60.00 degrees
Last column: magnetic moment on the atom in μB.
Fractional coordinates of all 4 atoms:
Ag  0.000  0.000  0.000  0.08
F  0.750  0.750  0.750  0.10
F  0.250  0.250  0.250  0.10
Os  0.500  0.500  0.500  2.80